V6O5F19 | meta-GGA SCAN | PBEsol geometry

Geometry as POSCAR:
```
V6O5F19
1.0
5.272 -0.022 0.011
0.186 5.417 0.012
0.095 2.624 13.996
F V O
19 6 5
direct
0.727 0.547 0.360
0.411 0.445 0.115
0.772 0.040 0.355
0.775 0.384 0.684
0.933 0.385 0.219
0.078 0.276 0.452
0.586 0.543 0.883
0.419 0.785 0.452
0.906 0.044 0.883
0.258 0.754 0.972
0.077 0.591 0.784
0.713 0.185 0.026
0.564 0.866 0.218
0.421 0.122 0.785
0.079 0.943 0.116
0.750 0.894 0.694
0.928 0.728 0.550
0.572 0.199 0.545
0.288 0.469 0.639
0.456 0.432 0.995
0.517 0.184 0.667
0.481 0.909 0.332
0.047 0.721 0.664
0.962 0.923 0.003
0.027 0.415 0.333
0.294 0.157 0.312
0.234 0.261 0.973
0.242 0.952 0.649
0.207 0.655 0.315
0.779 0.692 0.026
```

Output
Total energy (eV for the cell shown): -287.7
Volume (Å³/cell): 399.6
Energy relative to the elements, uncorrected (eV/atom): -2.810